# MnZn3Cu6, relaxed, DFT GGA-PBE
data_MnZn3Cu6
_space_group_name_H-M_alt 'P 1 21/m 1'
_space_group_IT_number 11
_cell_length_a 6.9700
_cell_length_b 4.2880
_cell_length_c 9.1404
_cell_angle_alpha 90.00
_cell_angle_beta 109.97
_cell_angle_gamma 90.00
loop_
_space_group_symop_operation_xyz
'x,y,z'
'-x,-y,-z'
'-x,y+1/2,-z'
'x,-y+1/2,z'
loop_
_atom_site_label
_atom_site_type_symbol
_atom_site_fract_x
_atom_site_fract_y
_atom_site_fract_z
Mn1 Mn 0.1141 0.2500 0.0753
Zn1 Zn 0.0894 0.7500 0.7281
Zn2 Zn 0.3008 0.7500 0.5299
Zn3 Zn 0.3075 0.2500 0.8685
Cu1 Cu 0.1003 0.7500 0.2306
Cu2 Cu 0.1035 0.2500 0.5679
Cu3 Cu 0.2962 0.7500 0.0311
Cu4 Cu 0.3070 0.2500 0.3725
Cu5 Cu 0.4935 0.7500 0.3275
Cu6 Cu 0.4941 0.7500 0.8297
# V ... 256.75 Å³ per cell
# Crystal system ... monoclinic
# Total moment ... 3.7 μB per formula unit
# ΔH_f (0 K) ... -0.015 eV per atom